Entry 1:
Below is a geometry-optimized SmY12Sc7 structure, with properties calculated at the PBE-GGA level.

## Properties
Symmetry ... R-3, No. 148

Cell and atoms, written as CIF:
```
data_SmY12Sc7
_chemical_formula_sum 'Sm1 Y12 Sc7'
_space_group_name_H-M_alt 'P 1'
_space_group_IT_number 1
_cell_length_a 9.1450
_cell_length_b 9.1450
_cell_length_c 9.1450
_cell_angle_alpha 108.72
_cell_angle_beta 108.72
_cell_angle_gamma 108.72
loop_
_space_group_symop_operation_xyz
'x,y,z'
loop_
_atom_site_label
_atom_site_type_symbol
_atom_site_fract_x
_atom_site_fract_y
_atom_site_fract_z
Y1 Y 0.4549 0.3580 0.7974
Y2 Y 0.3580 0.7974 0.4549
Y3 Y 0.7974 0.4549 0.3580
Y4 Y 0.2026 0.5451 0.6420
Y5 Y 0.9222 0.6406 0.1250
Y6 Y 0.8750 0.0778 0.3594
Y7 Y 0.5451 0.6420 0.2026
Y8 Y 0.3594 0.8750 0.0778
Y9 Y 0.0778 0.3594 0.8750
Y10 Y 0.6406 0.1250 0.9222
Sc1 Sc 0.1003 0.3748 0.2425
Y11 Y 0.1250 0.9222 0.6406
Sm1 Sm 0.0000 0.0000 0.0000
Sc2 Sc 0.8997 0.6252 0.7575
Sc3 Sc 0.3748 0.2425 0.1003
Sc4 Sc 0.7575 0.8997 0.6252
Y12 Y 0.6420 0.2026 0.5451
Sc5 Sc 0.2425 0.1003 0.3748
Sc6 Sc 0.5000 0.5000 0.5000
Sc7 Sc 0.6252 0.7575 0.8997
```



Entry 2:
Below is a geometry-optimized Sm4YSc3 structure, with properties calculated at the PBE-GGA level.

## Properties
Symmetry ... Pmn2_1, No. 31

Cell and atoms, written as CIF:
```
data_Sm4YSc3
_chemical_formula_sum 'Sm8 Y2 Sc6'
_space_group_name_H-M_alt 'P 1'
_space_group_IT_number 1
_cell_length_a 6.1159
_cell_length_b 7.1042
_cell_length_c 11.1033
_cell_angle_alpha 90.00
_cell_angle_beta 90.00
_cell_angle_gamma 90.00
loop_
_space_group_symop_operation_xyz
'x,y,z'
loop_
_atom_site_label
_atom_site_type_symbol
_atom_site_fract_x
_atom_site_fract_y
_atom_site_fract_z
Sc1 Sc 0.6507 0.6127 0.0000
Y1 Y 0.6559 0.6179 0.5000
Sm1 Sm 0.6274 0.1328 0.5000
Sm2 Sm 0.4840 0.8670 0.2405
Sm3 Sm 0.9840 0.1330 0.2595
Sm4 Sm 0.6519 0.1364 0.0000
Sm5 Sm 0.9840 0.1330 0.7405
Sm6 Sm 0.1519 0.8636 0.5000
Sm7 Sm 0.1274 0.8672 0.0000
Sm8 Sm 0.4840 0.8670 0.7595
Sc2 Sc 0.1507 0.3873 0.5000
Sc3 Sc 0.4807 0.3845 0.2495
Sc4 Sc 0.4807 0.3845 0.7505
Y2 Y 0.1559 0.3821 0.0000
Sc5 Sc 0.9807 0.6155 0.2505
Sc6 Sc 0.9807 0.6155 0.7495
```



Entry 3:
Below is a geometry-optimized Sm2Y12Sc5 structure, with properties calculated at the PBE-GGA level.

## Properties
Symmetry ... C2/m, No. 12

Cell and atoms, written as CIF:
```
data_Sm2Y12Sc5
_chemical_formula_sum 'Sm2 Y12 Sc5'
_space_group_name_H-M_alt 'P 1'
_space_group_IT_number 1
_cell_length_a 9.1913
_cell_length_b 8.8989
_cell_length_c 8.4232
_cell_angle_alpha 90.22
_cell_angle_beta 90.00
_cell_angle_gamma 121.09
loop_
_space_group_symop_operation_xyz
'x,y,z'
loop_
_atom_site_label
_atom_site_type_symbol
_atom_site_fract_x
_atom_site_fract_y
_atom_site_fract_z
Sc1 Sc 0.6942 0.3884 0.0065
Y1 Y 0.3420 0.3215 0.2350
Y2 Y 0.5664 0.1328 0.3221
Y3 Y 0.1836 0.7530 0.3548
Y4 Y 0.5695 0.7530 0.3548
Y5 Y 0.9795 0.3215 0.2350
Y6 Y 0.6580 0.6785 0.7650
Y7 Y 0.4305 0.2470 0.6452
Sc2 Sc 0.3058 0.6116 0.9935
Sm1 Sm 0.6793 0.0000 0.0000
Sc3 Sc 0.0000 0.0000 0.5000
Y8 Y 0.4336 0.8672 0.6779
Sc4 Sc 0.2296 0.4592 0.5703
Y9 Y 0.0961 0.1921 0.8753
Y10 Y 0.9039 0.8079 0.1247
Y11 Y 0.8164 0.2470 0.6452
Y12 Y 0.0205 0.6785 0.7650
Sm2 Sm 0.3207 0.0000 0.0000
Sc5 Sc 0.7704 0.5409 0.4297
```



Entry 4:
Below is a geometry-optimized Sm2YSc structure, with properties calculated at the PBE-GGA level.

## Properties
Symmetry ... R3m, No. 160

Cell and atoms, written as CIF:
```
data_Sm2YSc
_chemical_formula_sum 'Sm2 Y1 Sc1'
_space_group_name_H-M_alt 'P 1'
_space_group_IT_number 1
_cell_length_a 3.5526
_cell_length_b 3.5526
_cell_length_c 11.5246
_cell_angle_alpha 81.13
_cell_angle_beta 81.13
_cell_angle_gamma 60.00
loop_
_space_group_symop_operation_xyz
'x,y,z'
loop_
_atom_site_label
_atom_site_type_symbol
_atom_site_fract_x
_atom_site_fract_y
_atom_site_fract_z
Sc1 Sc 0.6669 0.6669 0.9994
Sm1 Sm 0.2531 0.2531 0.2406
Y1 Y 0.4997 0.4997 0.5008
Sm2 Sm 0.0803 0.0803 0.7592
```



no.,DFT formation energy (eV/atom),DFT total energy (eV per atom)
1,0.162,-6.168
2,0.051,-5.491
3,0.161,-6.084
4,0.050,-5.509